# PmPuS3 PBE relaxed
data_PmPuS3
_cell_length_a 7.3767
_cell_length_b 3.9812
_cell_length_c 15.3813
_cell_angle_alpha 90.00
_cell_angle_beta 90.00
_cell_angle_gamma 90.00
_space_group_name_H-M_alt 'P 1'
_space_group_IT_number 1
_space_group_name_Hall 'P 1'
loop_
_atom_site_label
_atom_site_fract_x
_atom_site_fract_y
_atom_site_fract_z
Pm1 0.1360 0.2500 0.2047
Pm2 0.3640 0.7500 0.7047
Pm3 0.6360 0.2500 0.2953
Pm4 0.8640 0.7500 0.7953
Pu1 0.2331 0.7500 0.4605
Pu2 0.2669 0.2500 0.9605
Pu3 0.7331 0.7500 0.0395
Pu4 0.7669 0.2500 0.5395
S1 0.0114 0.2500 0.3945
S2 0.1274 0.7500 0.0661
S3 0.1517 0.2500 0.7835
S4 0.3483 0.7500 0.2835
S5 0.3726 0.2500 0.5661
S6 0.4886 0.7500 0.8945
S7 0.5114 0.2500 0.1055
S8 0.6274 0.7500 0.4339
S9 0.6517 0.2500 0.7165
S10 0.8483 0.7500 0.2165
S11 0.8726 0.2500 0.9339
S12 0.9886 0.7500 0.6055
# Energy relative to the elements, uncorrected (eV per formula unit): -9.4
# Energy above the most stable polymorph in this dataset (meV/atom): 0
# Total DFT energy (no corrections) (eV per atom): -8.166